(1)
DFT (GGA-PBE) results for a relaxed structure of MgTlCl5.

Calculated values
**Uncorrected formation energy**: -1.103 eV/atom
**Crystal system**: monoclinic

Unit cell a=7.1365 b=7.1368 c=9.5524 alpha=109.10 beta=109.11 gamma=91.54
Element x y z (fractional)
Mg 0.5000 0.0000 0.0000
Mg 0.5000 0.0000 0.5000
Tl 0.8676 0.6326 0.2500
Tl 0.1324 0.3674 0.7500
Cl 0.7299 0.7271 0.0130
Cl 0.2430 0.6756 0.3527
Cl 0.4563 0.0432 0.2499
Cl 0.7731 0.7705 0.4872
Cl 0.2269 0.2295 0.5128
Cl 0.8242 0.2572 0.1477
Cl 0.1758 0.7428 0.8523
Cl 0.5437 0.9568 0.7501
Cl 0.7570 0.3244 0.6473
Cl 0.2701 0.2729 0.9870

=====

(2)
DFT (GGA-PBE) results for a relaxed structure of K2HfRh.

Calculated values
**Formation enthalpy at 0 K**: 146.7 kJ/mol of atoms
**Crystal system**: cubic

Unit cell a=5.4186 b=5.4186 c=5.4186 alpha=60.00 beta=60.00 gamma=60.00
Element x y z (fractional)
Rh 0.0000 0.0000 0.0000
K 0.2500 0.2500 0.2500
K 0.7500 0.7500 0.7500
Hf 0.5000 0.5000 0.5000

=====

(3)
DFT (GGA-PBE) results for a relaxed structure of PmYHoTm2.

Calculated values
**Formation enthalpy at 0 K**: 33.9 kJ/mol of atoms
**Crystal system**: orthorhombic

Unit cell a=6.3521 b=6.3570 c=8.8672 alpha=111.01 beta=90.00 gamma=90.00
Element x y z (fractional)
Pm 0.2500 0.8426 0.6852
Pm 0.7500 0.1574 0.3148
Y 0.7500 0.7532 0.5064
Y 0.2500 0.2468 0.4936
Ho 0.2500 0.6550 0.3099
Ho 0.7500 0.3450 0.6901
Tm 0.5000 0.2497 0.0000
Tm 0.0000 0.7503 0.0000
Tm 0.5000 0.7503 0.0000
Tm 0.0000 0.2497 0.0000

=====

(4)
DFT (GGA-PBE) results for a relaxed structure of Mg2Pd12Pt5.

Calculated values
**Formation enthalpy at 0 K**: -7.6 kJ/mol of atoms
**Crystal system**: monoclinic

Unit cell a=8.2687 b=7.2300 c=6.4508 alpha=84.78 beta=90.00 gamma=124.88
Element x y z (fractional)
Mg 0.7451 0.0000 0.0000
Mg 0.2549 0.0000 0.0000
Pd 0.1134 0.2269 0.1156
Pd 0.0791 0.5184 0.8180
Pd 0.4392 0.5184 0.8180
Pd 0.1703 0.7870 0.4310
Pd 0.6167 0.7870 0.4310
Pd 0.4504 0.9008 0.7196
Pd 0.5496 0.0992 0.2804
Pd 0.8297 0.2130 0.5690
Pd 0.3833 0.2130 0.5690
Pd 0.9209 0.4816 0.1820
Pd 0.5608 0.4816 0.1820
Pd 0.8866 0.7731 0.8844
Pt 0.2222 0.4443 0.4778
Pt 0.3484 0.6968 0.1151
Pt 0.0000 0.0000 0.5000
Pt 0.6516 0.3032 0.8849
Pt 0.7778 0.5557 0.5222

=====

(5)
DFT (GGA-PBE) results for a relaxed structure of ZrBe2Cl.

Calculated values
**Uncorrected formation energy**: 0.383 eV/atom
**Crystal system**: tetragonal

Unit cell a=7.0586 b=7.0586 c=5.5776 alpha=50.75 beta=50.75 gamma=90.00
Element x y z (fractional)
Be 0.5954 0.1250 0.2500
Be 0.1546 0.6250 0.2500
Be 0.3750 0.4046 0.7500
Be 0.8750 0.8454 0.7500
Zr 0.0000 0.0000 0.0000
Zr 0.7500 0.2500 0.5000
Cl 0.5000 0.5000 0.0000
Cl 0.2500 0.7500 0.5000

=====

(6)
DFT (GGA-PBE) results for a relaxed structure of Y2ScB2Rh5.

Calculated values
**Formation enthalpy at 0 K**: -80.4 kJ/mol of atoms
**Crystal system**: tetragonal

Unit cell a=3.2013 b=9.7275 c=9.7275 alpha=90.00 beta=90.00 gamma=90.00
Element x y z (fractional)
Y 0.0000 0.6754 0.1754
Y 0.0000 0.3246 0.8246
Y 0.0000 0.1754 0.3246
Y 0.0000 0.8246 0.6754
Sc 0.0000 0.0000 0.0000
Sc 0.0000 0.5000 0.5000
B 0.0000 0.1220 0.6220
B 0.0000 0.8780 0.3780
B 0.0000 0.6220 0.8780
B 0.0000 0.3780 0.1220
Rh 0.5000 0.2259 0.0705
Rh 0.5000 0.7741 0.9295
Rh 0.5000 0.0705 0.7741
Rh 0.5000 0.7259 0.4295
Rh 0.5000 0.9295 0.2259
Rh 0.5000 0.2741 0.5705
Rh 0.5000 0.5705 0.7259
Rh 0.5000 0.4295 0.2741
Rh 0.5000 0.5000 0.0000
Rh 0.5000 0.0000 0.5000

=====

no.,volume (Å³ per cell),E (Ha/atom)
1,429,-0.110
2,112,-0.123
3,334,-0.169
4,314,-0.188
5,124,-0.150
6,303,-0.286